Computed, not measured: Ca2NiBr after structural relaxation at the PBE level of DFT.

Results
space-group type = No. 119
formation energy from raw total energies = -1.470 eV/f.u.
total energy = -3.23 eV per atom

a = 6.7995 Å, b = 6.7995 Å, c = 6.7995 Å
α = 144.76°, β = 144.76°, γ = 50.69°
Atoms (fractional coordinates):
Ni 0.5000 0.5000 0.0000
Ca 0.2500 0.7500 0.5000
Ca 0.0000 0.0000 0.0000
Br 0.7500 0.2500 0.5000

Computed, not measured: Ho3PaPt4 after structural relaxation at the PBE level of DFT.

Results
space-group type = No. 51
total energy = -7.04 eV per atom
formation energy from the elements = -107.9 kJ/mol of atoms

a = 4.7960 Å, b = 8.4617 Å, c = 10.1393 Å
α = 90.00°, β = 90.00°, γ = 124.57°
Atoms (fractional coordinates):
Pt 0.9934 0.2437 0.6484
Pt 0.9948 0.2450 0.1485
Pt 0.0066 0.7563 0.3516
Pt 0.5052 0.7550 0.1485
Pt 0.4934 0.2437 0.3516
Pt 0.0052 0.7550 0.8515
Pt 0.4948 0.2450 0.8515
Pt 0.5066 0.7563 0.6484
Pa 0.2500 0.0000 0.1054
Pa 0.7500 0.0000 0.8946
Ho 0.2500 0.5000 0.3833
Ho 0.7500 0.5000 0.1192
Ho 0.7500 0.0000 0.3848
Ho 0.2500 0.5000 0.8808
Ho 0.7500 0.5000 0.6167
Ho 0.2500 0.0000 0.6152

Computed, not measured: Ho8Tm2Zn after structural relaxation at the PBE level of DFT.

Results
space-group type = No. 12
total energy = -4.28 eV per atom
formation energy from the elements = -2.2 kJ/mol of atoms

a = 5.4512 Å, b = 6.3081 Å, c = 9.8293 Å
α = 93.95°, β = 106.10°, γ = 90.00°
Atoms (fractional coordinates):
Ho 0.0426 0.2551 0.0852
Ho 0.3438 0.8773 0.6876
Ho 0.5781 0.6071 0.1561
Ho 0.9574 0.7449 0.9148
Ho 0.8436 0.1945 0.6872
Ho 0.1564 0.8055 0.3128
Ho 0.6562 0.1227 0.3124
Ho 0.4219 0.3929 0.8439
Zn 0.5000 0.0000 0.0000
Tm 0.7589 0.6685 0.5178
Tm 0.2411 0.3315 0.4822

Computed, not measured: YPtCl after structural relaxation at the PBE level of DFT.

Results
space-group type = No. 11
formation energy from raw total energies = -4.288 eV/f.u.
total energy = -6.21 eV per atom

a = 5.3418 Å, b = 8.1608 Å, c = 8.1616 Å
α = 59.39°, β = 84.47°, γ = 84.47°
Atoms (fractional coordinates):
Pt 0.6638 0.3594 0.6094
Pt 0.3362 0.1406 0.8906
Pt 0.6638 0.8594 0.1094
Pt 0.3362 0.6406 0.3906
Y 0.9717 0.5160 0.2660
Y 0.9717 0.0160 0.7660
Y 0.0283 0.4840 0.7340
Y 0.0283 0.9840 0.2340
Cl 0.7608 0.8422 0.5922
Cl 0.2392 0.6578 0.9078
Cl 0.7608 0.3422 0.0922
Cl 0.2392 0.1578 0.4078

Q: The highest total energy belongs to which entry?
A: Ca2NiBr

Q: The lowest total energy belongs to which entry?
A: Ho3PaPt4

What did the fourth record say?
Computed, not measured: YPtCl after structural relaxation at the PBE level of DFT.

Results
space-group type = No. 11
formation energy from raw total energies = -4.288 eV/f.u.
total energy = -6.21 eV per atom

a = 5.3418 Å, b = 8.1608 Å, c = 8.1616 Å
α = 59.39°, β = 84.47°, γ = 84.47°
Atoms (fractional coordinates):
Pt 0.6638 0.3594 0.6094
Pt 0.3362 0.1406 0.8906
Pt 0.6638 0.8594 0.1094
Pt 0.3362 0.6406 0.3906
Y 0.9717 0.5160 0.2660
Y 0.9717 0.0160 0.7660
Y 0.0283 0.4840 0.7340
Y 0.0283 0.9840 0.2340
Cl 0.7608 0.8422 0.5922
Cl 0.2392 0.6578 0.9078
Cl 0.7608 0.3422 0.0922
Cl 0.2392 0.1578 0.4078